Record 1
## SrHfTe2N (PBEsol)

Data for an optimized crystal structure of SrHfTe2N.

Mass density, g cm⁻³: 6.71
Density of states at the Fermi level, states/eV/f.u.: 3.89
Formation energy from raw total energies, eV/f.u.: -4.1
Calculated total energy, eV per formula unit: -32.0

Cell: 4.0439 5.7235 5.7235 Å, 90.00 90.00 90.00°
Each line ends with the local moment (μB).
Element x y z (fractional)
Sr 0.5000 0.5000 0.5000  0.00
Te 0.0000 0.0000 0.5000  0.03
Te 0.0000 0.5000 0.0000  0.03
Hf 0.0000 0.0000 0.0000  0.00
N 0.5000 0.0000 0.0000  0.14



Record 2
## Co2GeRuN (PBEsol)

Data for an optimized crystal structure of Co2GeRuN.

Mass density, g cm⁻³: 9.18
Density of states at the Fermi level, states/eV/f.u.: 5.37
Formation energy from raw total energies, eV/f.u.: 0.0
Calculated total energy, eV per formula unit: -39.1

Cell: 3.7045 3.7045 4.0283 Å, 90.00 90.00 90.00°
Each line ends with the local moment (μB).
Element x y z (fractional)
Ru 0.0000 0.0000 0.5000  0.26
Ge 0.5000 0.5000 0.5000  0.02
Co 0.0000 0.5000 0.0000  0.73
Co 0.5000 0.0000 0.0000  0.73
N 0.0000 0.0000 0.0000  0.05